Entry 1:
RbPrSO (GGA-PBE, relaxed); space group = P-6m2, No. 187; crystal system = hexagonal; energy above the lowest structure with this stoichiometry = 95 meV per atom
1.0
3.9071 0.0000 0.0000
-1.9536 3.3837 0.0000
0.0000 0.0000 14.4125
O Pr Rb S
2 2 2 2
Direct
0.0000 0.0000 0.3566 O
0.0000 0.0000 0.6434 O
0.6667 0.3333 0.2804 Pr
0.6667 0.3333 0.7196 Pr
0.0000 0.0000 0.0000 Rb
0.3333 0.6667 0.5000 Rb
0.3333 0.6667 0.1629 S
0.3333 0.6667 0.8371 S


Entry 2:
TbEr2Cu4Pb4 (GGA-PBE, relaxed); space group = Immm, No. 71; crystal system = orthorhombic
1.0
3.4497 -3.4547 7.0619
6.3501 3.9310 4.2343
-8.0801 0.0412 -2.9009
Cu Er Pb Tb
4 2 4 1
Direct
0.6413 0.3294 0.3120 Cu
0.9826 0.6706 0.3120 Cu
0.0174 0.3294 0.6880 Cu
0.3587 0.6706 0.6880 Cu
0.6315 0.1315 0.5000 Er
0.3685 0.8685 0.5000 Er
0.2170 0.2170 0.0000 Pb
0.7830 0.7830 0.0000 Pb
0.7069 0.5000 0.2069 Pb
0.2931 0.5000 0.7931 Pb
0.0000 0.0000 0.0000 Tb


no.,DFT total energy (eV/atom)
1,-5.790
2,-4.195